{"formula": "VFe2NO", "functional": "PBE+U", "state": "optimized geometry", "cell": [[3.6285, 0.0000, 0.0000], [0.0000, 3.6285, 0.0000], [0.0000, 0.0000, 5.1786]], "species": ["V", "Fe", "Fe", "N", "O"], "frac_coords": [[0.0000, 0.0000, 0.0000], [0.0000, 0.5000, 0.5000], [0.5000, 0.0000, 0.5000], [0.5000, 0.5000, 0.0000], [0.5000, 0.5000, 0.5000]], "space_group": "P4/mmm, No. 123", "energy_ev_per_atom": -5.45, "n_ef_per_ev_atom": 0.51}